The following is a PBE calculation of a geometry-optimized Hf3NbPd12 structure, from Alexandria via LeMat-Bulk.

POSCAR file:
```
Hf3NbPd12
1.0
4.003 0.000 0.000
0.000 4.003 0.000
0.000 0.000 16.041
Pd Hf Nb
12 3 1
direct
0.500 0.500 0.000
0.500 0.500 0.500
0.000 0.500 0.875
0.000 0.500 0.375
0.500 0.500 0.750
0.500 0.500 0.250
0.500 0.000 0.875
0.000 0.500 0.125
0.500 0.000 0.125
0.000 0.500 0.625
0.500 0.000 0.625
0.500 0.000 0.375
0.000 0.000 0.751
0.000 0.000 0.249
0.000 0.000 0.500
0.000 0.000 0.000
```

- formation enthalpy at 0 K (kJ/mol of atoms) = -68.5
- E_tot (eV for the cell shown) = -113.6

***

The following is a PBE calculation of a geometry-optimized Hf5NbPd4 structure, from Alexandria via LeMat-Bulk.

POSCAR file:
```
Hf5NbPd4
1.0
-0.608 -1.662 -2.841
3.278 -0.559 -0.375
-1.434 -14.197 8.613
Pd Hf Nb
4 5 1
direct
0.000 0.000 0.794
0.000 0.000 0.602
0.000 0.000 0.398
0.000 0.000 0.206
0.500 0.500 0.500
0.500 0.500 0.696
0.500 0.500 0.304
0.500 0.500 0.897
0.500 0.500 0.103
0.000 0.000 0.000
```

- formation enthalpy at 0 K (kJ/mol of atoms) = -49.5
- E_tot (eV for the cell shown) = -85.7

***

The following is a PBE calculation of a geometry-optimized Hf2NbPd structure, from Alexandria via LeMat-Bulk.

POSCAR file:
```
Hf2NbPd
1.0
-0.440 -2.199 2.489
0.271 -2.526 -2.184
6.718 -0.174 1.034
Hf Pd Nb
2 1 1
direct
0.000 0.000 0.249
0.000 0.000 0.751
0.500 0.500 0.000
0.500 0.500 0.500
```

- formation enthalpy at 0 K (kJ/mol of atoms) = -36.5
- E_tot (eV for the cell shown) = -36.7

***

The following is a PBE calculation of a geometry-optimized HfNbPd14 structure, from Alexandria via LeMat-Bulk.

POSCAR file:
```
HfNbPd14
1.0
5.648 -0.012 0.000
0.012 5.648 0.000
0.000 0.000 7.872
Pd Hf Nb
14 1 1
direct
0.624 0.624 0.746
0.624 0.126 0.746
0.126 0.126 0.254
0.375 0.375 0.000
0.875 0.875 0.000
0.875 0.375 0.500
0.875 0.375 0.000
0.375 0.875 0.500
0.126 0.624 0.254
0.126 0.126 0.746
0.624 0.126 0.254
0.375 0.875 0.000
0.624 0.624 0.254
0.126 0.624 0.746
0.875 0.875 0.500
0.375 0.375 0.500
```

- formation enthalpy at 0 K (kJ/mol of atoms) = -34.3
- E_tot (eV for the cell shown) = -98.4

***

The following is a PBE calculation of a geometry-optimized Hf2NbPd2 structure, from Alexandria via LeMat-Bulk.

POSCAR file:
```
Hf2NbPd2
1.0
-0.401 5.310 -5.536
-4.440 -4.682 -4.169
-2.593 1.236 1.374
Hf Pd Nb
4 4 2
direct
0.827 0.327 0.500
0.173 0.673 0.500
0.673 0.827 0.500
0.327 0.173 0.500
0.373 0.873 0.000
0.127 0.373 0.000
0.873 0.627 0.000
0.627 0.127 0.000
0.500 0.500 0.000
0.000 0.000 0.000
```

- formation enthalpy at 0 K (kJ/mol of atoms) = -36.7
- E_tot (eV for the cell shown) = -84.5

***

The following is a PBE calculation of a geometry-optimized Hf2NbPd structure, from Alexandria via LeMat-Bulk.

POSCAR file:
```
Hf2NbPd
1.0
3.428 0.000 0.000
0.000 4.696 0.000
0.000 0.000 4.696
Hf Nb Pd
2 1 1
direct
0.000 0.000 0.500
0.000 0.500 0.000
0.500 0.500 0.500
0.500 0.000 0.000
```

- formation enthalpy at 0 K (kJ/mol of atoms) = -29.4
- E_tot (eV for the cell shown) = -36.4

***

The following is a PBE calculation of a geometry-optimized Hf2NbPd2 structure, from Alexandria via LeMat-Bulk.

POSCAR file:
```
Hf2NbPd2
1.0
4.849 0.000 0.000
0.000 4.849 0.000
2.424 2.424 4.425
Hf Pd Nb
2 2 1
direct
0.250 0.750 0.500
0.750 0.250 0.500
0.637 0.637 0.726
0.363 0.363 0.274
0.000 0.000 0.000
```

- formation enthalpy at 0 K (kJ/mol of atoms) = -1.0
- E_tot (eV for the cell shown) = -40.4

***

The following is a PBE calculation of a geometry-optimized HfNb2Pd2 structure, from Alexandria via LeMat-Bulk.

POSCAR file:
```
HfNb2Pd2
1.0
7.952 0.000 0.000
0.000 7.952 0.000
0.000 0.000 2.875
Nb Pd Hf
4 4 2
direct
0.332 0.832 0.000
0.832 0.668 0.000
0.668 0.168 0.000
0.168 0.332 0.000
0.628 0.872 0.500
0.872 0.372 0.500
0.372 0.128 0.500
0.128 0.628 0.500
0.000 0.000 0.000
0.500 0.500 0.000
```

- formation enthalpy at 0 K (kJ/mol of atoms) = -4.5
- E_tot (eV for the cell shown) = -81.4

***

The following is a PBE calculation of a geometry-optimized HfNbPd2 structure, from Alexandria via LeMat-Bulk.

POSCAR file:
```
HfNbPd2
1.0
7.299 0.000 0.000
0.000 7.299 0.000
3.649 3.649 2.790
Hf Nb Pd
2 2 4
direct
0.750 0.250 0.500
0.000 0.000 0.000
0.250 0.750 0.500
0.500 0.500 0.000
0.875 0.871 0.750
0.129 0.625 0.250
0.375 0.379 0.750
0.621 0.125 0.250
```

- formation enthalpy at 0 K (kJ/mol of atoms) = -4.6
- E_tot (eV for the cell shown) = -61.2

***

The following is a PBE calculation of a geometry-optimized HfNbPd2 structure, from Alexandria via LeMat-Bulk.

POSCAR file:
```
HfNbPd2
1.0
-3.559 2.057 0.068
-1.815 -3.074 -1.992
-0.945 -1.754 3.569
Pd Nb Hf
2 1 1
direct
0.000 0.500 0.000
0.000 0.000 0.500
0.500 0.500 0.500
0.500 0.000 0.000
```

- formation enthalpy at 0 K (kJ/mol of atoms) = -41.2
- E_tot (eV for the cell shown) = -32.1

***

The following is a PBE calculation of a geometry-optimized Hf3NbPd structure, from Alexandria via LeMat-Bulk.

POSCAR file:
```
Hf3NbPd
1.0
-3.148 3.582 1.352
-3.480 -1.947 -2.944
-1.597 -2.819 3.751
Hf Nb Pd
3 1 1
direct
0.000 0.000 0.500
0.500 0.000 0.000
0.000 0.500 0.000
0.500 0.500 0.500
0.000 0.000 0.000
```

- formation enthalpy at 0 K (kJ/mol of atoms) = 71.9
- E_tot (eV for the cell shown) = -41.4

***

The following is a PBE calculation of a geometry-optimized Hf2NbPd2 structure, from Alexandria via LeMat-Bulk.

POSCAR file:
```
Hf2NbPd2
1.0
3.284 0.000 0.000
0.000 3.435 0.651
0.000 0.164 8.525
Pd Hf Nb
2 2 1
direct
0.000 0.187 0.626
0.000 0.813 0.374
0.500 0.393 0.214
0.500 0.607 0.786
0.000 0.000 0.000
```

- formation enthalpy at 0 K (kJ/mol of atoms) = -35.9
- E_tot (eV for the cell shown) = -42.2